# KSO3

KSO3 after structural relaxation (PBE, Alexandria via LeMat-Bulk).

Values from the calculation:
Volume = 18.92 A^3/atom
Symmetry = P321, No. 150
Crystal system = trigonal
Theoretical density = 2.09 g/cm3
DOS(E_F) = 0.0 states/eV/cell
Energy = -170.6 eV per cell

Cell and atoms, written as CIF:
```
data_KSO3
_symmetry_space_group_name_H-M 'P 1'
_symmetry_Int_Tables_number 1
_cell_length_a 10.0638
_cell_length_b 10.0638
_cell_length_c 6.4706
_cell_angle_alpha 90.00
_cell_angle_beta 90.00
_cell_angle_gamma 120.00
loop_
_symmetry_equiv_pos_as_xyz
'x,y,z'
loop_
_atom_site_label
_atom_site_type_symbol
_atom_site_fract_x
_atom_site_fract_y
_atom_site_fract_z
K1 K 0.0000 0.2872 0.0000
K2 K 0.0000 0.6247 0.5000
K3 K 0.2872 0.0000 0.0000
K4 K 0.3753 0.3753 0.5000
K5 K 0.6247 0.0000 0.5000
K6 K 0.7128 0.7128 0.0000
S1 S 0.0000 0.0000 0.3285
S2 S 0.0000 0.0000 0.6715
S3 S 0.3333 0.6667 0.1934
S4 S 0.3333 0.6667 0.8484
S5 S 0.6667 0.3333 0.1516
S6 S 0.6667 0.3333 0.8066
O1 O 0.0354 0.8798 0.7304
O2 O 0.1202 0.1556 0.7304
O3 O 0.1556 0.1202 0.2696
O4 O 0.1712 0.5673 0.7924
O5 O 0.2353 0.5044 0.2505
O6 O 0.2692 0.7647 0.2505
O7 O 0.3961 0.8288 0.7924
O8 O 0.4327 0.6039 0.7924
O9 O 0.4956 0.7308 0.2505
O10 O 0.5044 0.2353 0.7495
O11 O 0.5673 0.1712 0.2076
O12 O 0.6039 0.4327 0.2076
O13 O 0.7308 0.4956 0.7495
O14 O 0.7647 0.2692 0.7495
O15 O 0.8288 0.3961 0.2076
O16 O 0.8444 0.9646 0.7304
O17 O 0.8798 0.0354 0.2696
O18 O 0.9646 0.8444 0.2696
```

=====

# SrCo2Tc

SrCo2Tc after structural relaxation (PBE, Alexandria via LeMat-Bulk).

Values from the calculation:
Volume = 16.57 A^3/atom
Calculated formation energy = 0.742 eV/atom
Symmetry = Imm2, No. 44
Crystal system = orthorhombic
Energy above the most stable polymorph in this dataset = 0.461 eV per atom
Theoretical density = 7.61 g/cm3
DOS(E_F) = 4.7 states/eV/cell
Energy = -23.3 eV per cell

Cell and atoms, written as CIF:
```
data_SrCo2Tc
_symmetry_space_group_name_H-M 'P 1'
_symmetry_Int_Tables_number 1
_cell_length_a 5.6848
_cell_length_b 5.6848
_cell_length_c 5.6848
_cell_angle_alpha 152.03
_cell_angle_beta 129.24
_cell_angle_gamma 58.95
loop_
_symmetry_equiv_pos_as_xyz
'x,y,z'
loop_
_atom_site_label
_atom_site_type_symbol
_atom_site_fract_x
_atom_site_fract_y
_atom_site_fract_z
Sr1 Sr 0.0000 0.0000 0.0000
Co1 Co 0.5145 0.5145 0.0000
Co2 Co 0.7158 0.2158 0.5000
Tc1 Tc 0.2923 0.7923 0.5000
```